First-principles (PBE) data for an optimized crystal structure of Sr2As2F, as listed in Alexandria.

Cell lengths 7.393, 7.393, 4.746 Å; angles 90.00, 90.00, 90.00 degrees
Element x y z (fractional)
Sr 0.314 0.814 0.000
Sr 0.814 0.686 0.000
Sr 0.686 0.186 0.000
Sr 0.186 0.314 0.000
As 0.114 0.614 0.500
As 0.614 0.886 0.500
As 0.886 0.386 0.500
As 0.386 0.114 0.500
F 0.000 0.000 0.000
F 0.500 0.500 0.000

## Properties
VASP energy, eV/atom: -4.5631
Theoretical density, kg/m³: 4405



First-principles (PBE) data for an optimized crystal structure of Sr12As3F5, as listed in Alexandria.

Cell lengths 14.744, 14.744, 14.744 Å; angles 109.47, 109.47, 109.47 degrees
Element x y z (fractional)
As 0.750 0.375 0.125
As 0.875 0.750 0.125
As 0.375 0.750 0.625
As 0.250 0.125 0.375
As 0.875 0.125 0.250
As 0.375 0.625 0.250
As 0.625 0.375 0.750
As 0.125 0.875 0.750
As 0.750 0.875 0.625
As 0.625 0.250 0.375
As 0.125 0.250 0.875
As 0.250 0.625 0.875
F 0.125 0.375 0.250
F 0.000 0.500 0.000
F 0.000 0.000 0.000
F 0.375 0.250 0.125
F 0.500 0.000 0.500
F 0.500 0.500 0.000
F 0.125 0.750 0.375
F 0.750 0.125 0.875
F 0.750 0.625 0.375
F 0.375 0.125 0.750
F 0.625 0.875 0.250
F 0.500 0.500 0.500
F 0.500 0.000 0.000
F 0.000 0.000 0.500
F 0.250 0.375 0.625
F 0.250 0.875 0.125
F 0.000 0.500 0.500
F 0.875 0.250 0.625
F 0.625 0.750 0.875
F 0.875 0.625 0.750
Sr 0.715 0.122 0.025
Sr 0.311 0.525 0.404
Sr 0.975 0.378 0.285
Sr 0.525 0.215 0.122
Sr 0.593 0.715 0.689
Sr 0.975 0.596 0.189
Sr 0.311 0.785 0.407
Sr 0.096 0.907 0.122
Sr 0.596 0.975 0.689
Sr 0.715 0.593 0.189
Sr 0.785 0.475 0.378
Sr 0.811 0.904 0.025
Sr 0.122 0.715 0.525
Sr 0.378 0.404 0.093
Sr 0.093 0.904 0.378
Sr 0.407 0.122 0.596
Sr 0.093 0.189 0.215
Sr 0.475 0.689 0.096
Sr 0.811 0.907 0.285
Sr 0.122 0.407 0.096
Sr 0.378 0.975 0.785
Sr 0.596 0.622 0.407
Sr 0.904 0.811 0.525
Sr 0.785 0.311 0.907
Sr 0.404 0.378 0.593
Sr 0.096 0.189 0.475
Sr 0.215 0.689 0.093
Sr 0.189 0.093 0.715
Sr 0.622 0.025 0.215
Sr 0.878 0.593 0.904
Sr 0.525 0.311 0.904
Sr 0.593 0.878 0.404
Sr 0.907 0.811 0.785
Sr 0.907 0.096 0.622
Sr 0.878 0.285 0.475
Sr 0.189 0.096 0.975
Sr 0.622 0.596 0.907
Sr 0.404 0.025 0.311
Sr 0.285 0.407 0.811
Sr 0.215 0.525 0.622
Sr 0.904 0.093 0.878
Sr 0.689 0.215 0.593
Sr 0.475 0.785 0.878
Sr 0.025 0.404 0.811
Sr 0.407 0.285 0.311
Sr 0.025 0.622 0.715
Sr 0.689 0.475 0.596
Sr 0.285 0.878 0.975

## Properties
VASP energy, eV/atom: -3.8613
Theoretical density, kg/m³: 3691



First-principles (PBE) data for an optimized crystal structure of SrAs2F, as listed in Alexandria.

Cell lengths 4.997, 4.997, 4.997 Å; angles 60.00, 60.00, 60.00 degrees
Element x y z (fractional)
Sr 0.500 0.500 0.500
As 0.250 0.250 0.250
As 0.750 0.750 0.750
F 0.000 0.000 0.000

## Properties
VASP energy, eV/atom: -3.6207
Theoretical density, kg/m³: 4826
Excess energy over the best structure of this formula in the dataset, meV per atom: 1106



First-principles (PBE) data for an optimized crystal structure of Sr6As3F, as listed in Alexandria.

Cell lengths 7.359, 9.724, 9.724 Å; angles 102.42, 90.00, 90.00 degrees
Element x y z (fractional)
Sr 0.191 0.687 0.640
Sr 0.691 0.640 0.687
Sr 0.188 0.429 0.890
Sr 0.688 0.890 0.429
Sr 0.169 0.043 0.957
Sr 0.679 0.222 0.778
Sr 0.179 0.778 0.222
Sr 0.669 0.957 0.043
Sr 0.188 0.110 0.571
Sr 0.688 0.571 0.110
Sr 0.191 0.360 0.313
Sr 0.691 0.313 0.360
As 0.471 0.931 0.717
As 0.971 0.717 0.931
As 0.408 0.389 0.611
As 0.908 0.611 0.389
As 0.971 0.069 0.283
As 0.471 0.283 0.069
F 0.029 0.195 0.805
F 0.529 0.805 0.195

## Properties
VASP energy, eV/atom: -3.9525
Theoretical density, kg/m³: 3760



First-principles (PBE) data for an optimized crystal structure of SrAsF6, as listed in Alexandria.

Cell lengths 4.842, 4.842, 4.896 Å; angles 80.94, 80.94, 97.64 degrees
Each line ends with the local moment (μB).
Element x y z (fractional)
Sr 0.500 0.500 0.500  0.00
As 0.000 0.000 0.000  0.17
F 0.073 0.715 0.287  0.06
F 0.715 0.073 0.287  0.06
F 0.285 0.927 0.713  0.06
F 0.927 0.285 0.713  0.06
F 0.287 0.287 0.057  0.07
F 0.713 0.713 0.943  0.07

## Properties
VASP energy, eV/atom: -4.8775
Theoretical density, kg/m³: 4156
Excess energy over the best structure of this formula in the dataset, meV per atom: 27



First-principles (PBE) data for an optimized crystal structure of SrAsF6, as listed in Alexandria.

Cell lengths 14.547, 5.987, 5.987 Å; angles 61.70, 144.17, 144.17 degrees
Each line ends with the local moment (μB).
Element x y z (fractional)
Sr 0.500 0.000 0.000  0.02
As 0.000 0.000 0.000  0.29
F 0.838 0.113 0.672  0.10
F 0.838 0.672 0.113  0.10
F 0.162 0.328 0.887  0.10
F 0.162 0.887 0.328  0.10
F 0.671 0.454 0.454  0.10
F 0.329 0.546 0.546  0.10

## Properties
VASP energy, eV/atom: -4.9040
Theoretical density, kg/m³: 3040
Excess energy over the best structure of this formula in the dataset, meV per atom: 0



First-principles (PBE) data for an optimized crystal structure of SrAs2F, as listed in Alexandria.

Cell lengths 3.719, 3.719, 12.681 Å; angles 81.57, 81.57, 90.00 degrees
Element x y z (fractional)
Sr 0.000 0.000 0.000
Sr 0.750 0.250 0.500
As 0.610 0.125 0.250
As 0.140 0.625 0.250
As 0.375 0.390 0.750
As 0.875 0.860 0.750
F 0.500 0.500 0.000
F 0.250 0.750 0.500

## Properties
VASP energy, eV/atom: -4.7267
Theoretical density, kg/m³: 4964
Excess energy over the best structure of this formula in the dataset, meV per atom: 0



First-principles (PBE) data for an optimized crystal structure of SrAsF2, as listed in Alexandria.

Cell lengths 6.001, 6.001, 6.001 Å; angles 109.42, 109.42, 109.57 degrees
Element x y z (fractional)
Sr 0.750 0.250 0.500
Sr 0.000 0.000 0.000
As 0.250 0.750 0.500
As 0.500 0.500 0.000
F 0.069 0.625 0.944
F 0.681 0.125 0.056
F 0.375 0.319 0.444
F 0.875 0.931 0.556

## Properties
VASP energy, eV/atom: -4.4183
Theoretical density, kg/m³: 4004
Excess energy over the best structure of this formula in the dataset, meV per atom: 307



First-principles (PBE) data for an optimized crystal structure of SrAs2F8, as listed in Alexandria.

Cell lengths 5.035, 6.415, 6.415 Å; angles 71.07, 96.68, 96.68 degrees
Element x y z (fractional)
Sr 0.000 0.000 0.000
As 0.535 0.710 0.710
As 0.465 0.290 0.290
F 0.254 0.366 0.025
F 0.746 0.975 0.634
F 0.352 0.874 0.874
F 0.648 0.126 0.126
F 0.254 0.025 0.366
F 0.746 0.634 0.975
F 0.778 0.593 0.593
F 0.222 0.407 0.407

## Properties
VASP energy, eV/atom: -4.9099
Theoretical density, kg/m³: 3334



First-principles (PBE) data for an optimized crystal structure of SrAsF2, as listed in Alexandria.

Cell lengths 4.710, 4.710, 4.710 Å; angles 60.00, 60.00, 60.00 degrees
Each line ends with the local moment (μB).
Element x y z (fractional)
Sr 0.500 0.500 0.500  0.09
As 0.000 0.000 0.000  1.18
F 0.250 0.250 0.250  0.19
F 0.750 0.750 0.750  0.19

## Properties
VASP energy, eV/atom: -4.2783
Theoretical density, kg/m³: 4506
Excess energy over the best structure of this formula in the dataset, meV per atom: 447



First-principles (PBE) data for an optimized crystal structure of SrAsF2, as listed in Alexandria.

Cell lengths 9.581, 9.581, 9.581 Å; angles 22.14, 22.14, 22.14 degrees
Each line ends with the local moment (μB).
Element x y z (fractional)
Sr 0.500 0.500 0.500  0.00
As 0.000 0.000 0.000  0.50
F 0.873 0.873 0.873  0.01
F 0.127 0.127 0.127  0.01

## Properties
VASP energy, eV/atom: -4.7257
Theoretical density, kg/m³: 3041
Excess energy over the best structure of this formula in the dataset, meV per atom: 0



First-principles (PBE) data for an optimized crystal structure of SrAsF, as listed in Alexandria.

Cell lengths 3.616, 7.681, 7.408 Å; angles 130.81, 90.00, 103.62 degrees
Element x y z (fractional)
As 0.749 0.498 0.383
As 0.251 0.502 0.617
Sr 0.000 0.000 0.500
Sr 0.000 0.000 0.000
F 0.464 0.928 0.234
F 0.536 0.072 0.766

## Properties
VASP energy, eV/atom: -4.8767
Theoretical density, kg/m³: 4074